Record 1
A relaxed ZnTcBr crystal, computed with PBE-GGA.

## Properties
The calculation puts the offset from the most stable computed form at 62 meV per atom. The calculation puts the uncorrected formation energy at 0.46 eV per atom. As for the raw total energy: -3.97 eV/atom.

abc: 3.0773 3.0773 12.4760
angles: 90.00 90.00 90.00
Positions (direct):
Zn: 0.0000 0.0000 0.0000
Zn: 0.5000 0.5000 0.5000
Tc: 0.0000 0.0000 0.6221
Tc: 0.5000 0.5000 0.1221
Br: 0.0000 0.0000 0.2484
Br: 0.5000 0.5000 0.7484

Record 2
A relaxed YEr2Si crystal, computed with PBE-GGA.

## Properties
The calculation puts the uncorrected formation energy at -0.15 eV per atom. As for the raw total energy: -5.40 eV/atom.

abc: 3.6153 3.6153 29.6931
angles: 90.00 90.00 120.00
Positions (direct):
Y: 0.0000 0.0000 0.0000
Y: 0.3333 0.6667 0.6667
Y: 0.6667 0.3333 0.3333
Er: 0.0000 0.0000 0.2319
Er: 0.0000 0.0000 0.7681
Er: 0.3333 0.6667 0.4347
Er: 0.3333 0.6667 0.8986
Er: 0.6667 0.3333 0.1014
Er: 0.6667 0.3333 0.5653
Si: 0.0000 0.0000 0.5000
Si: 0.3333 0.6667 0.1667
Si: 0.6667 0.3333 0.8333

Record 3
A relaxed Ac3UCl2O6 crystal, computed with PBE-GGA.

## Properties
The calculation puts the uncorrected formation energy at -2.91 eV per atom. As for the raw total energy: -7.67 eV/atom.

abc: 7.4623 7.4623 5.6754
angles: 98.42 98.42 57.61
Positions (direct):
Ac: 0.0000 0.0000 0.0000
Ac: 0.0000 0.5000 0.5000
Ac: 0.5000 0.0000 0.5000
U: 0.5000 0.5000 0.5000
Cl: 0.2078 0.2078 0.8821
Cl: 0.7922 0.7922 0.1179
O: 0.1959 0.6738 0.6955
O: 0.3262 0.8041 0.3045
O: 0.3427 0.3427 0.3416
O: 0.6573 0.6573 0.6584
O: 0.6738 0.1959 0.6955
O: 0.8041 0.3262 0.3045

Record 4
A relaxed BaYIn crystal, computed with PBE-GGA.

## Properties
The calculation puts the offset from the most stable computed form at 94 meV per atom. Its formation energy from the elements is -0.73 eV/f.u. As for the raw total energy: -3.95 eV/atom.

abc: 4.2311 17.9770 5.7457
angles: 90.00 90.00 90.00
Positions (direct):
Ba: 0.0000 0.0680 0.0000
Ba: 0.0000 0.9320 0.5000
Ba: 0.5000 0.4320 0.5000
Ba: 0.5000 0.5680 0.0000
Y: 0.0000 0.2390 0.4988
Y: 0.0000 0.7610 0.9988
Y: 0.5000 0.2610 0.9988
Y: 0.5000 0.7390 0.4988
In: 0.0000 0.3871 0.0000
In: 0.0000 0.6129 0.5000
In: 0.5000 0.1129 0.5000
In: 0.5000 0.8871 0.0000

- Among the records above, which one has the highest raw total energy?
  BaYIn

- Among the records above, which one has the highest raw total energy?
  BaYIn

- Among the records above, which one has the highest raw total energy?
  BaYIn

- Which value of raw total energy does entry 3 give?
  -7.67 eV/atom